Record 1
An optimized crystal structure of LiCdHg3, computed with PBE.

Geometry as CIF:
```
data_LiCdHg3
_chemical_formula_sum 'Li2 Cd2 Hg6'
_symmetry_space_group_name_H-M 'P 1 21/m 1'
_symmetry_Int_Tables_number 11
_cell_length_a 4.7400
_cell_length_b 4.7477
_cell_length_c 10.1718
_cell_angle_alpha 90.00
_cell_angle_beta 102.58
_cell_angle_gamma 90.00
loop_
_symmetry_equiv_pos_as_xyz
'x,y,z'
'-x,-y,-z'
'-x,y+1/2,-z'
'x,-y+1/2,z'
loop_
_atom_site_label
_atom_site_fract_x
_atom_site_fract_y
_atom_site_fract_z
_atom_site_occupancy
Li1 0.1544 0.2500 0.3028 1
Cd1 0.3442 0.2500 0.6926 1
Hg1 0.0629 0.7500 0.1111 1
Hg2 0.2462 0.7500 0.4999 1
Hg3 0.4422 0.7500 0.8843 1
```

Results
The value obtained for the polymorph energy (0 for the lowest one) is 0.0 kJ/mol of atoms. For the total moment, the calculation gives 0.00 Bohr magnetons per cell. The formation energy from the elements is -0.145 eV per atom.


Record 2
An optimized crystal structure of Li2CdHg, computed with PBE.

Geometry as CIF:
```
data_Li2CdHg
_chemical_formula_sum 'Li4 Cd2 Hg2'
_symmetry_space_group_name_H-M 'I -4 m 2'
_symmetry_Int_Tables_number 119
_symmetry_space_group_name_Hall 'I -4 -2'
_cell_length_a 4.1747
_cell_length_b 4.1747
_cell_length_c 8.5870
_cell_angle_alpha 90.00
_cell_angle_beta 90.00
_cell_angle_gamma 90.00
loop_
_atom_site_label
_atom_site_fract_x
_atom_site_fract_y
_atom_site_fract_z
_atom_site_occupancy
Li1 0.0000 0.0000 0.0000 1
Li2 0.0000 0.5000 0.2500 1
Cd1 0.0000 0.5000 0.7500 1
Hg1 0.0000 0.0000 0.5000 1
```

Results
The value obtained for the polymorph energy (0 for the lowest one) is 1.9 kJ/mol of atoms. For the total moment, the calculation gives 0.00 Bohr magnetons per cell. The formation energy from the elements is -0.300 eV per atom.


Record 3
An optimized crystal structure of LiCdHg2, computed with PBE.

Geometry as CIF:
```
data_LiCdHg2
_chemical_formula_sum 'Li2 Cd2 Hg4'
_symmetry_space_group_name_H-M 'I m m 2'
_symmetry_Int_Tables_number 44
_cell_length_a 4.4850
_cell_length_b 4.4990
_cell_length_c 8.5467
_cell_angle_alpha 90.00
_cell_angle_beta 90.00
_cell_angle_gamma 90.00
loop_
_symmetry_equiv_pos_as_xyz
'x,y,z'
'-x,-y,z'
'-x,y,z'
'x,-y,z'
'x+1/2,y+1/2,z+1/2'
'-x+1/2,-y+1/2,z+1/2'
'-x+1/2,y+1/2,z+1/2'
'x+1/2,-y+1/2,z+1/2'
loop_
_atom_site_label
_atom_site_fract_x
_atom_site_fract_y
_atom_site_fract_z
_atom_site_occupancy
Li1 0.0000 0.0000 0.0000 1
Cd1 0.0000 0.5000 0.7499 1
Hg1 0.0000 0.0000 0.5005 1
Hg2 0.0000 0.5000 0.2510 1
```

Results
For the total moment, the calculation gives 0.00 Bohr magnetons per cell. The formation energy from the elements is -0.172 eV per atom.


Record 4
An optimized crystal structure of LiCdHg4, computed with PBE.

Geometry as CIF:
```
data_LiCdHg4
_chemical_formula_sum 'Li4 Cd4 Hg16'
_symmetry_space_group_name_H-M 'C 1 2/c 1'
_symmetry_Int_Tables_number 15
_cell_length_a 9.0853
_cell_length_b 11.9469
_cell_length_c 6.8331
_cell_angle_alpha 90.00
_cell_angle_beta 130.66
_cell_angle_gamma 90.00
loop_
_symmetry_equiv_pos_as_xyz
'x,y,z'
'-x,-y,-z'
'-x,y,-z+1/2'
'x,-y,z+1/2'
'x+1/2,y+1/2,z'
'-x+1/2,-y+1/2,-z'
'-x+1/2,y+1/2,-z+1/2'
'x+1/2,-y+1/2,z+1/2'
loop_
_atom_site_label
_atom_site_fract_x
_atom_site_fract_y
_atom_site_fract_z
_atom_site_occupancy
Li1 0.0000 0.2048 0.2500 1
Cd1 0.0000 0.0784 0.7500 1
Hg1 0.1581 0.3179 0.7238 1
Hg2 0.1974 0.4231 0.3123 1
```

Results
The value obtained for the polymorph energy (0 for the lowest one) is 0.0 kJ/mol of atoms. For the total moment, the calculation gives 0.00 Bohr magnetons per cell. The formation energy from the elements is -0.112 eV per atom.


Record 5
An optimized crystal structure of Li3Cd2Hg3, computed with PBE.

Geometry as CIF:
```
data_Li3Cd2Hg3
_chemical_formula_sum 'Li6 Cd4 Hg6'
_symmetry_space_group_name_H-M 'I m m m'
_symmetry_Int_Tables_number 71
_symmetry_space_group_name_Hall '-I 2 2'
_cell_length_a 3.4488
_cell_length_b 4.7274
_cell_length_c 19.6069
_cell_angle_alpha 90.00
_cell_angle_beta 90.00
_cell_angle_gamma 90.00
loop_
_atom_site_label
_atom_site_fract_x
_atom_site_fract_y
_atom_site_fract_z
_atom_site_occupancy
Li1 0.0000 0.0000 0.0000 1
Li2 0.0000 0.5000 0.1257 1
Cd1 0.0000 0.0000 0.2399 1
Hg1 0.0000 0.0000 0.5000 1
Hg2 0.0000 0.5000 0.3888 1
```

Results
The value obtained for the polymorph energy (0 for the lowest one) is 0.0 kJ/mol of atoms. For the total moment, the calculation gives 0.00 Bohr magnetons per cell. The formation energy from the elements is -0.269 eV per atom.


Record 6
An optimized crystal structure of Li6CdHg2, computed with PBE.

Geometry as CIF:
```
data_Li6CdHg2
_chemical_formula_sum 'Li12 Cd2 Hg4'
_symmetry_space_group_name_H-M 'C 1 2/m 1'
_symmetry_Int_Tables_number 12
_cell_length_a 7.4006
_cell_length_b 7.9459
_cell_length_c 5.4424
_cell_angle_alpha 90.00
_cell_angle_beta 95.88
_cell_angle_gamma 90.00
loop_
_symmetry_equiv_pos_as_xyz
'x,y,z'
'-x,-y,-z'
'-x,y,-z'
'x,-y,z'
'x+1/2,y+1/2,z'
'-x+1/2,-y+1/2,-z'
'-x+1/2,y+1/2,-z'
'x+1/2,-y+1/2,z'
loop_
_atom_site_label
_atom_site_fract_x
_atom_site_fract_y
_atom_site_fract_z
_atom_site_occupancy
Li1 0.0000 0.1688 0.0000 1
Li2 0.1659 0.3342 0.6685 1
Cd1 0.0000 0.0000 0.5000 1
Hg1 0.1694 0.5000 0.1689 1
```

Results
The value obtained for the polymorph energy (0 for the lowest one) is 0.0 kJ/mol of atoms. For the total moment, the calculation gives 0.00 Bohr magnetons per cell. The formation energy from the elements is -0.253 eV per atom.


Record 7
An optimized crystal structure of LiCdHg, computed with PBE.

Geometry as CIF:
```
data_LiCdHg
_chemical_formula_sum 'Li1 Cd1 Hg1'
_symmetry_space_group_name_H-M 'P 3 m 1'
_symmetry_Int_Tables_number 156
_cell_length_a 4.9130
_cell_length_b 4.9130
_cell_length_c 3.1059
_cell_angle_alpha 90.00
_cell_angle_beta 90.00
_cell_angle_gamma 120.00
loop_
_symmetry_equiv_pos_as_xyz
'x,y,z'
'-y,x-y,z'
'-x+y,-x,z'
'-y,-x,z'
'-x+y,y,z'
'x,x-y,z'
loop_
_atom_site_label
_atom_site_fract_x
_atom_site_fract_y
_atom_site_fract_z
_atom_site_occupancy
Li1 0.0000 0.0000 0.0000 1
Cd1 0.6667 0.3333 0.5010 1
Hg1 0.3333 0.6667 0.4942 1
```

Results
The value obtained for the polymorph energy (0 for the lowest one) is 4.1 kJ/mol of atoms. For the total moment, the calculation gives 0.00 Bohr magnetons per cell. The formation energy from the elements is -0.206 eV per atom.


Record 8
An optimized crystal structure of Li9Cd4Hg11, computed with PBE.

Geometry as CIF:
```
data_Li9Cd4Hg11
_chemical_formula_sum 'Li18 Cd8 Hg22'
_symmetry_space_group_name_H-M 'C m m m'
_symmetry_Int_Tables_number 65
_symmetry_space_group_name_Hall '-C 2 2'
_cell_length_a 15.2063
_cell_length_b 18.9810
_cell_length_c 3.3484
_cell_angle_alpha 90.00
_cell_angle_beta 90.00
_cell_angle_gamma 90.00
loop_
_atom_site_label
_atom_site_fract_x
_atom_site_fract_y
_atom_site_fract_z
_atom_site_occupancy
Li1 0.0000 0.0000 0.0000 1
Li2 0.1033 0.4052 0.0000 1
Li3 0.1187 0.2317 0.0000 1
Cd1 0.1557 0.0801 0.0000 1
Hg1 0.0000 0.1432 0.5000 1
Hg2 0.0000 0.3132 0.5000 1
Hg3 0.0000 0.5000 0.5000 1
Hg4 0.2017 0.5000 0.5000 1
Hg5 0.2203 0.3253 0.5000 1
```

Results
For the total moment, the calculation gives 0.00 Bohr magnetons per cell. The formation energy from the elements is -0.262 eV per atom.


Record 9
An optimized crystal structure of Li15Cd4Hg, computed with PBE.

Geometry as CIF:
```
data_Li15Cd4Hg
_chemical_formula_sum 'Li15 Cd4 Hg1'
_symmetry_space_group_name_H-M 'P 4/m m m'
_symmetry_Int_Tables_number 123
_symmetry_space_group_name_Hall '-P 4 2'
_cell_length_a 4.3603
_cell_length_b 4.3603
_cell_length_c 19.2026
_cell_angle_alpha 90.00
_cell_angle_beta 90.00
_cell_angle_gamma 90.00
loop_
_atom_site_label
_atom_site_fract_x
_atom_site_fract_y
_atom_site_fract_z
_atom_site_occupancy
Li1 0.0000 0.0000 0.0000 1
Li2 0.0000 0.0000 0.1980 1
Li3 0.0000 0.0000 0.4000 1
Li4 0.0000 0.5000 0.0965 1
Li5 0.0000 0.5000 0.2996 1
Li6 0.0000 0.5000 0.5000 1
Cd1 0.5000 0.5000 0.1989 1
Cd2 0.5000 0.5000 0.4001 1
Hg1 0.5000 0.5000 0.0000 1
```

Results
For the total moment, the calculation gives 0.00 Bohr magnetons per cell. The formation energy from the elements is -0.190 eV per atom.


Record 10
An optimized crystal structure of Li12Cd6Hg, computed with PBE.

Geometry as CIF:
```
data_Li12Cd6Hg
_chemical_formula_sum 'Li36 Cd18 Hg3'
_symmetry_space_group_name_H-M 'R -3'
_symmetry_Int_Tables_number 148
_symmetry_space_group_name_Hall '-R 3'
_cell_length_a 10.2980
_cell_length_b 10.2980
_cell_length_c 12.2110
_cell_angle_alpha 90.00
_cell_angle_beta 90.00
_cell_angle_gamma 120.00
loop_
_atom_site_label
_atom_site_fract_x
_atom_site_fract_y
_atom_site_fract_z
_atom_site_occupancy
Li1 0.0330 0.1854 0.3141 1
Li2 0.0591 0.8469 0.9122 1
Cd1 0.0129 0.4256 0.2055 1
Hg1 0.0000 0.0000 0.5000 1
```

Results
For the total moment, the calculation gives 0.00 Bohr magnetons per cell. The formation energy from the elements is -0.181 eV per atom.


Record 11
An optimized crystal structure of Li4Cd5Hg, computed with PBE.

Geometry as CIF:
```
data_Li4Cd5Hg
_chemical_formula_sum 'Li4 Cd5 Hg1'
_symmetry_space_group_name_H-M 'P 4/m m m'
_symmetry_Int_Tables_number 123
_symmetry_space_group_name_Hall '-P 4 2'
_cell_length_a 3.4394
_cell_length_b 3.4394
_cell_length_c 16.3415
_cell_angle_alpha 90.00
_cell_angle_beta 90.00
_cell_angle_gamma 90.00
loop_
_atom_site_label
_atom_site_fract_x
_atom_site_fract_y
_atom_site_fract_z
_atom_site_occupancy
Li1 0.0000 0.0000 0.0968 1
Li2 0.0000 0.0000 0.2883 1
Cd1 0.5000 0.5000 0.0000 1
Cd2 0.5000 0.5000 0.1916 1
Cd3 0.5000 0.5000 0.3815 1
Hg1 0.0000 0.0000 0.5000 1
```

Results
The value obtained for the polymorph energy (0 for the lowest one) is 2.0 kJ/mol of atoms. For the total moment, the calculation gives 0.00 Bohr magnetons per cell. The formation energy from the elements is -0.212 eV per atom.


Number 1: volume 111.7 Å³/f.u.. Number 2: volume 74.8 Å³/f.u.. Number 3: volume 86.2 Å³/f.u.. Number 4: volume 140.7 Å³/f.u.. Number 5: volume 159.8 Å³/f.u.. Number 6: volume 159.2 Å³/f.u.. Number 7: volume 64.9 Å³/f.u.. Number 8: volume 483.2 Å³/f.u.. Number 9: volume 365.1 Å³/f.u.. Number 10: volume 373.8 Å³/f.u.. Number 11: volume 193.3 Å³/f.u..